[1]
A relaxed Mg3TiBe crystal. Source: Alexandria, functional GGA-PBE.

Results
Total magnetic moment ... 3.151 μB/f.u.
Energy above the most stable polymorph in this dataset ... 0.894 eV per atom
Space-group type ... Pm-3m (221)

Cell: 5.346 5.346 5.346 Å, 90.00 90.00 90.00°
Site moments in Bohr magnetons follow the coordinates.
Fractional coordinates of all 5 atoms:
Be 0.500 0.500 0.500  -0.03
Mg 0.000 0.500 0.000  0.04
Mg 0.000 0.000 0.500  0.01
Mg 0.500 0.000 0.000  0.05
Ti 0.000 0.000 0.000  1.92

[2]
A relaxed PIrPb2 crystal. Source: Alexandria, functional GGA-PBE.

Results
Total energy ... -4.94 eV/atom
Total magnetic moment ... 0.000 μB/f.u.
Space-group type ... R-3m (166)

Cell: 7.208 7.208 7.208 Å, 31.48 31.48 31.48°
Fractional coordinates of all 4 atoms:
Ir 0.250 0.250 0.250
P 0.750 0.750 0.750
Pb 0.997 0.997 0.997
Pb 0.503 0.503 0.503

[3]
A relaxed K2Tl2Bi crystal. Source: Alexandria, functional GGA-PBE.

Results
Total magnetic moment ... 0.000 μB/f.u.
Energy above the most stable polymorph in this dataset ... 0.291 eV per atom
Space-group type ... P4/mbm (127)

Cell: 10.150 10.150 3.652 Å, 90.00 90.00 90.00°
Fractional coordinates of all 10 atoms:
K 0.317 0.817 0.000
K 0.817 0.683 0.000
K 0.683 0.183 0.000
K 0.183 0.317 0.000
Tl 0.116 0.616 0.500
Tl 0.616 0.884 0.500
Tl 0.884 0.384 0.500
Tl 0.384 0.116 0.500
Bi 0.000 0.000 0.000
Bi 0.500 0.500 0.000

[4]
A relaxed Pm2PrZn2In2 crystal. Source: Alexandria, functional GGA-PBE.

Results
Total energy ... -3.49 eV/atom
Total magnetic moment ... 0.000 μB/f.u.
Space-group type ... R-3m (166)

Cell: 4.772 4.772 9.819 Å, 75.94 75.94 60.00°
Fractional coordinates of all 7 atoms:
Pm 0.129 0.129 0.614
Pm 0.871 0.871 0.386
Pr 0.000 0.000 0.000
Zn 0.596 0.596 0.213
Zn 0.404 0.404 0.787
In 0.737 0.737 0.789
In 0.263 0.263 0.211

[5]
A relaxed Ba2PuCrN4 crystal. Source: Alexandria, functional GGA-PBE.

Results
Uncorrected formation energy ... -0.811 eV per atom
Total magnetic moment ... 6.000 μB/f.u.
Space-group type ... Pmmn (59)

Cell: 6.043 6.451 7.691 Å, 90.00 90.00 90.00°
Site moments in Bohr magnetons follow the coordinates.
Fractional coordinates of all 16 atoms:
Ba 0.500 0.248 0.244  0.07
Ba 0.500 0.248 0.756  0.07
Ba 0.000 0.752 0.744  0.07
Ba 0.000 0.752 0.256  0.07
Pu 0.000 0.224 0.500  4.92
Pu 0.500 0.776 0.000  4.92
Cr 0.500 0.820 0.500  0.92
Cr 0.000 0.180 0.000  0.92
N 0.237 0.001 0.000  -0.11
N 0.737 0.999 0.500  -0.11
N 0.263 0.999 0.500  -0.11
N 0.763 0.001 0.000  -0.11
N 0.500 0.688 0.704  -0.12
N 0.000 0.312 0.204  -0.12
N 0.000 0.312 0.796  -0.12
N 0.500 0.688 0.296  -0.12

[6]
A relaxed NdTlRh2 crystal. Source: Alexandria, functional GGA-PBE.

Results
Total energy ... -5.77 eV/atom
Total magnetic moment ... 0.000 μB/f.u.
Space-group type ... P4/mmm (123)

Cell: 3.513 3.513 6.514 Å, 90.00 90.00 90.00°
Fractional coordinates of all 4 atoms:
Rh 0.000 0.000 0.734
Rh 0.000 0.000 0.266
Tl 0.500 0.500 0.500
Nd 0.500 0.500 0.000

[7]
A relaxed BiB2Se6 crystal. Source: Alexandria, functional GGA-PBE.

Results
Uncorrected formation energy ... -0.043 eV per atom
Total magnetic moment ... 0.000 μB/f.u.
Space-group type ... C2/c (15)

Cell: 6.235 9.562 9.562 Å, 75.99 80.53 80.53°
Fractional coordinates of all 18 atoms:
Bi 0.250 0.105 0.895
Bi 0.750 0.895 0.105
B 0.260 0.696 0.824
B 0.240 0.176 0.304
B 0.740 0.304 0.176
B 0.760 0.824 0.696
Se 0.497 0.745 0.648
Se 0.003 0.352 0.255
Se 0.503 0.255 0.352
Se 0.997 0.648 0.745
Se 0.848 0.945 0.487
Se 0.652 0.513 0.055
Se 0.152 0.055 0.513
Se 0.348 0.487 0.945
Se 0.211 0.814 0.983
Se 0.289 0.017 0.186
Se 0.789 0.186 0.017
Se 0.711 0.983 0.814

[8]
A relaxed Sc3BeBr3 crystal. Source: Alexandria, functional GGA-PBE.

Results
Uncorrected formation energy ... -0.964 eV per atom
Total magnetic moment ... 0.000 μB/f.u.
Space-group type ... I4_132 (214)

Cell: 9.419 9.419 9.419 Å, 109.47 109.47 109.47°
Fractional coordinates of all 28 atoms:
Sc 0.965 0.482 0.232
Sc 0.518 0.035 0.268
Sc 0.250 0.018 0.482
Sc 0.982 0.750 0.018
Sc 0.982 0.232 0.465
Sc 0.768 0.018 0.035
Sc 0.732 0.465 0.482
Sc 0.768 0.750 0.232
Sc 0.535 0.268 0.018
Sc 0.250 0.232 0.268
Sc 0.732 0.268 0.750
Sc 0.518 0.482 0.750
Be 0.750 0.500 0.000
Be 0.500 0.250 0.500
Be 0.750 0.250 0.250
Be 0.000 0.000 0.250
Br 0.245 0.995 0.990
Br 0.750 0.755 0.745
Br 0.490 0.745 0.995
Br 0.005 0.250 0.995
Br 0.255 0.745 0.250
Br 0.495 0.505 0.250
Br 0.245 0.250 0.755
Br 0.255 0.510 0.505
Br 0.750 0.995 0.505
Br 0.010 0.505 0.755
Br 0.005 0.755 0.510
Br 0.495 0.990 0.745

[9]
A relaxed K8ICl6 crystal. Source: Alexandria, functional GGA-PBE.

Results
Uncorrected formation energy ... -1.651 eV per atom
Total magnetic moment ... 0.000 μB/f.u.
Space-group type ... P-3 (147)

Cell: 4.682 11.862 11.862 Å, 120.00 90.00 90.00°
Fractional coordinates of all 15 atoms:
K 0.743 0.962 0.300
K 0.743 0.700 0.662
K 0.743 0.338 0.038
K 0.257 0.038 0.700
K 0.257 0.300 0.338
K 0.257 0.662 0.962
K 0.748 0.333 0.667
K 0.252 0.667 0.333
I 0.500 0.000 0.000
Cl 0.755 0.660 0.135
Cl 0.755 0.865 0.525
Cl 0.755 0.475 0.340
Cl 0.245 0.340 0.865
Cl 0.245 0.135 0.475
Cl 0.245 0.525 0.660

[10]
A relaxed CaLa3Pr7 crystal. Source: Alexandria, functional GGA-PBE.

Results
Total magnetic moment ... 0.000 μB/f.u.
Energy above the most stable polymorph in this dataset ... 0.000 eV per atom
Space-group type ... C2/m (12)

Cell: 6.713 7.981 7.981 Å, 81.56 86.91 86.91°
Fractional coordinates of all 11 atoms:
Ca 0.500 0.500 0.500
La 0.000 0.826 0.174
La 0.500 0.000 0.000
La 0.000 0.174 0.826
Pr 0.793 0.233 0.233
Pr 0.744 0.915 0.570
Pr 0.256 0.430 0.085
Pr 0.744 0.570 0.915
Pr 0.000 0.500 0.500
Pr 0.256 0.085 0.430
Pr 0.207 0.767 0.767

[11]
A relaxed TcMo2As crystal. Source: Alexandria, functional GGA-PBE.

Results
Total energy ... -9.01 eV/atom
Total magnetic moment ... 0.000 μB/f.u.
Space-group type ... F-43m (216)

Cell: 4.412 4.412 4.412 Å, 60.00 60.00 60.00°
Fractional coordinates of all 4 atoms:
As 0.500 0.500 0.500
Mo 0.000 0.000 0.000
Mo 0.250 0.250 0.250
Tc 0.750 0.750 0.750